# 1
The following is a PBE calculation of Hf2TaHg after structural relaxation, from Alexandria.

Cell and atoms, written as extended XYZ:
```
4
Lattice="3.447 0.000 0.000 0.000 3.447 0.000 0.000 0.000 6.987" Properties=species:S:1:pos:R:3 pbc="T T T"
Hg 1.724 1.724 0.000
Hf 0.000 0.000 5.120
Hf 0.000 0.000 1.867
Ta 1.724 1.724 3.493
```

Results
E_tot = -0.591 Ry/atom
M_tot = 0.000 μB per atom

***

# 2
The following is a PBE calculation of Be2CdBr after structural relaxation, from Alexandria.

Cell and atoms, written as extended XYZ:
```
4
Lattice="-0.903 -2.612 1.469 -0.044 -1.523 -2.735 7.461 -2.016 1.002" Properties=species:S:1:pos:R:3 pbc="T T T"
Cd 5.227 -3.608 0.133
Br 3.457 -0.934 0.464
Be 0.164 -2.240 -0.547
Be 1.396 -0.377 0.187
```

Results
formation energy from raw total energies = 384 meV per atom
E_tot = -0.156 Ry/atom
distance to the lowest polymorph of the same formula = 9.0 kJ per mole of atoms
M_tot = 0.000 μB per atom